{
  "formula": "Sc2RhCl",
  "functional": "PBE",
  "state": "optimized geometry",
  "m_tot_mub_per_fu": 0.0,
  "polymorph_energy_ev_per_fu": 1.302,
  "cell": [[-4.357, 1.485, -1.472], [-1.952, -4.074, 1.717], [-0.454, 1.364, 2.721]],
  "species": ["Cl", "Sc", "Sc", "Rh"],
  "fractional_positions": [[0.500, 0.000, 0.500], [0.000, 0.000, 0.000], [0.500, 0.500, 0.000], [0.000, 0.500, 0.500]]
}